1.
{
  "formula": "ZnCo",
  "functional": "meta-GGA SCAN",
  "state": "single point on PBEsol structure",
  "formation_enthalpy_0k_ev_per_atom": -0.045,
  "n_ef_per_ev_atom": 0.2588,
  "sg": "P4/mmm",
  "lattice": [[2.568, 0.000, 0.000], [0.000, 2.568, 0.000], [0.000, 0.000, 3.495]],
  "species": ["Zn", "Co"],
  "fractional_positions": [[0.000, 0.000, 0.000], [0.500, 0.500, 0.500]]
}

2.
{
  "formula": "Zn2Co",
  "functional": "meta-GGA SCAN",
  "state": "single point on PBEsol structure",
  "formation_enthalpy_0k_ev_per_atom": 0.013,
  "n_ef_per_ev_atom": 0.4753,
  "sg": "P-3m1",
  "lattice": [[4.070, 0.000, 0.000], [-2.035, 3.525, 0.000], [0.000, 0.000, 2.528]],
  "species": ["Zn", "Zn", "Co"],
  "fractional_positions": [[0.333, 0.667, 0.383], [0.667, 0.333, 0.617], [0.000, 0.000, 0.000]]
}

3.
{
  "formula": "ZnCo",
  "functional": "meta-GGA SCAN",
  "state": "single point on PBEsol structure",
  "formation_enthalpy_0k_ev_per_atom": 0.009,
  "n_ef_per_ev_atom": 0.4509,
  "sg": "P4/nmm",
  "lattice": [[2.609, 0.000, 0.000], [0.000, 2.609, 0.000], [0.000, 0.000, 6.911]],
  "species": ["Zn", "Zn", "Co", "Co"],
  "fractional_positions": [[0.250, 0.250, 0.145], [0.750, 0.750, 0.855], [0.250, 0.250, 0.606], [0.750, 0.750, 0.394]]
}

4.
{
  "formula": "Zn3Co",
  "functional": "meta-GGA SCAN",
  "state": "single point on PBEsol structure",
  "formation_enthalpy_0k_ev_per_atom": 0.014,
  "n_ef_per_ev_atom": 0.6364,
  "sg": "Pm-3m",
  "lattice": [[3.662, 0.000, 0.000], [0.000, 3.662, 0.000], [0.000, 0.000, 3.662]],
  "species": ["Zn", "Zn", "Zn", "Co"],
  "fractional_positions": [[0.000, 0.000, 0.500], [0.000, 0.500, 0.000], [0.500, 0.000, 0.000], [0.500, 0.500, 0.500]]
}

5.
{
  "formula": "Zn8Co",
  "functional": "meta-GGA SCAN",
  "state": "single point on PBEsol structure",
  "formation_enthalpy_0k_ev_per_atom": 0.034,
  "n_ef_per_ev_atom": 0.3544,
  "sg": "I4/mmm",
  "lattice": [[-4.014, 4.014, 1.834], [4.014, -4.014, 1.834], [4.014, 4.014, -1.834]],
  "species": ["Zn", "Zn", "Zn", "Zn", "Zn", "Zn", "Zn", "Zn", "Co"],
  "fractional_positions": [[0.000, 0.329, 0.329], [0.000, 0.671, 0.671], [0.329, 0.000, 0.329], [0.339, 0.339, 0.677], [0.339, 0.661, 0.000], [0.661, 0.339, 0.000], [0.661, 0.661, 0.323], [0.671, 0.000, 0.671], [0.000, 0.000, 0.000]]
}

6.
{
  "formula": "ZnCo3",
  "functional": "meta-GGA SCAN",
  "state": "single point on PBEsol structure",
  "formation_enthalpy_0k_ev_per_atom": 0.004,
  "n_ef_per_ev_atom": 0.4841,
  "sg": "P4/mmm",
  "lattice": [[2.515, 0.000, 0.000], [0.000, 2.515, 0.000], [0.000, 0.000, 6.916]],
  "species": ["Zn", "Co", "Co", "Co"],
  "fractional_positions": [[0.000, 0.000, 0.000], [0.000, 0.000, 0.500], [0.500, 0.500, 0.264], [0.500, 0.500, 0.736]]
}

7.
{
  "formula": "ZnCo5",
  "functional": "meta-GGA SCAN",
  "state": "single point on PBEsol structure",
  "formation_enthalpy_0k_ev_per_atom": 0.059,
  "n_ef_per_ev_atom": 0.6086,
  "sg": "P-62m",
  "lattice": [[4.278, 0.000, 0.000], [-2.139, 3.705, 0.000], [0.000, 0.000, 4.041]],
  "species": ["Zn", "Co", "Co", "Co", "Co", "Co"],
  "fractional_positions": [[0.000, 0.000, 0.000], [0.000, 0.336, 0.500], [0.333, 0.667, 0.000], [0.336, 0.000, 0.500], [0.664, 0.664, 0.500], [0.667, 0.333, 0.000]]
}

8.
{
  "formula": "ZnCo",
  "functional": "meta-GGA SCAN",
  "state": "single point on PBEsol structure",
  "formation_enthalpy_0k_ev_per_atom": 0.074,
  "n_ef_per_ev_atom": 0.7603,
  "sg": "Imma",
  "lattice": [[2.695, 0.000, 0.000], [0.000, 4.138, 0.000], [0.000, 0.000, 8.316]],
  "species": ["Zn", "Zn", "Zn", "Zn", "Co", "Co", "Co", "Co"],
  "fractional_positions": [[0.000, 0.250, 0.119], [0.000, 0.750, 0.881], [0.500, 0.250, 0.381], [0.500, 0.750, 0.619], [0.000, 0.250, 0.634], [0.000, 0.750, 0.366], [0.500, 0.250, 0.866], [0.500, 0.750, 0.134]]
}